VASP calculation (PBE+U) on crystalline HfMg6CoO8 at its relaxed geometry.

total energy = -6.421 eV per atom
symmetry = P4/mmm, No. 123

abc: 4.2897 4.2897 8.8453
angles: 90.00 90.00 90.00
Positions (direct):
Hf 0.0000 0.0000 0.0000
Mg 0.0000 0.0000 0.5000
Mg 0.0000 0.5000 0.2579
Mg 0.0000 0.5000 0.7421
Mg 0.5000 0.0000 0.2579
Mg 0.5000 0.0000 0.7421
Mg 0.5000 0.5000 0.5000
Co 0.5000 0.5000 0.0000
O 0.0000 0.0000 0.2537
O 0.0000 0.0000 0.7463
O 0.0000 0.5000 0.0000
O 0.0000 0.5000 0.5000
O 0.5000 0.0000 0.0000
O 0.5000 0.0000 0.5000
O 0.5000 0.5000 0.2647
O 0.5000 0.5000 0.7353